(1)
First-principles (GGA-PBE) data for a relaxed Li2Cd6Hg crystal, as listed in Alexandria.

Computed properties:
Formation energy from the elements   -0.14 eV per atom
Uncorrected energy   -10.9 eV/f.u.
Crystal system   monoclinic
Total moment   0.000 Bohr magnetons per cell
Fermi-level density of states   3.1 states/eV/cell

Geometry as POSCAR:
```
Li2Cd6Hg
1.0
0.1341 -1.9421 -3.7612
3.2713 -5.6820 3.0504
-6.6769 0.3220 1.9802
Cd Li Hg
6 2 1
direct
0.8368 0.5105 0.6735 Cd
0.3924 0.8462 0.7848 Cd
0.6076 0.1538 0.2152 Cd
0.1632 0.4895 0.3265 Cd
0.7232 0.8351 0.4465 Cd
0.2768 0.1649 0.5535 Cd
0.0560 0.8200 0.1121 Li
0.9440 0.1800 0.8879 Li
0.5000 0.5000 0.0000 Hg
```

=====

(2)
First-principles (GGA-PBE) data for a relaxed TbPm6Tm crystal, as listed in Alexandria.

Computed properties:
Formation energy from the elements   0.02 eV per atom
Uncorrected energy   -37.5 eV/f.u.
Crystal system   orthorhombic
Total moment   0.000 Bohr magnetons per cell
Fermi-level density of states   11.9 states/eV/cell

Geometry as POSCAR:
```
TbPm6Tm
1.0
6.0279 -0.1352 -1.6705
-2.4485 5.5093 -1.6738
0.0546 0.0862 8.1024
Tb Pm Tm
1 6 1
direct
0.5000 0.5000 0.0000 Tb
0.3763 0.8763 0.7526 Pm
0.7505 0.7505 0.5009 Pm
0.1237 0.6236 0.2473 Pm
0.2495 0.2495 0.4991 Pm
0.8763 0.3764 0.7527 Pm
0.6237 0.1237 0.2474 Pm
0.0000 0.0000 0.0000 Tm
```

=====

Q: What is the formula in the first record?
A: Li2Cd6Hg

=====

Q: Look up the Fermi-level density of states of the second one.
A: 11.9 states/eV/cell

=====

Q: Fermi-level density of states of number 1 (Li2Cd6Hg)?
A: 3.1 states/eV/cell